[1]
{
  "formula": "Na3Pu2AgS6",
  "functional": "GGA-PBE",
  "state": "optimized geometry",
  "lattice_angstrom": [[-1.277, -0.499, 6.698], [-0.137, -5.597, -3.923], [6.935, 1.062, 0.235]],
  "species": ["S", "S", "Pu", "S", "S", "S", "Na", "Pu", "Na", "S", "Na", "Ag"],
  "fractional_positions": [[0.727, 0.727, 0.227], [0.575, 0.924, 0.773], [0.333, 0.667, 0.000], [0.076, 0.425, 0.227], [0.425, 0.076, 0.227], [0.924, 0.575, 0.773], [0.159, 0.841, 0.500], [0.667, 0.333, 0.000], [0.500, 0.500, 0.500], [0.273, 0.273, 0.773], [0.841, 0.159, 0.500], [0.000, 0.000, 0.000]],
  "dft_energy_ha_per_atom": -0.2292,
  "formation_energy_uncorrected_ev_per_atom": -1.216,
  "spacegroup": "C2/m"
}

---

[2]
{
  "formula": "NaPu2AgS4",
  "functional": "GGA-PBE",
  "state": "optimized geometry",
  "lattice_angstrom": [[-1.082, 3.334, 1.997], [2.846, -4.231, 4.530], [12.736, 5.724, -2.654]],
  "species": ["Na", "Na", "S", "S", "Pu", "S", "Ag", "Ag", "S", "Pu", "S", "Pu", "S", "S", "Pu", "S"],
  "fractional_positions": [[0.888, 0.776, 0.250], [0.112, 0.224, 0.750], [0.270, 0.540, 0.396], [0.000, 0.000, 0.500], [0.631, 0.262, 0.434], [0.547, 0.094, 0.250], [0.836, 0.672, 0.750], [0.164, 0.328, 0.250], [0.453, 0.906, 0.750], [0.369, 0.738, 0.566], [0.270, 0.540, 0.104], [0.631, 0.262, 0.066], [0.730, 0.460, 0.896], [0.730, 0.460, 0.604], [0.369, 0.738, 0.934], [0.000, 0.000, 0.000]],
  "dft_energy_ha_per_atom": -0.2739,
  "formation_energy_uncorrected_ev_per_atom": -1.286,
  "spacegroup": "Cmcm"
}

---

[3]
{
  "formula": "Na4Pu3AgSe8",
  "functional": "GGA-PBE",
  "state": "optimized geometry",
  "lattice_angstrom": [[8.304, 0.000, 0.000], [0.000, 8.431, 0.080], [-4.152, -4.147, 5.877]],
  "species": ["Se", "Pu", "Na", "Se", "Pu", "Ag", "Se", "Se", "Pu", "Na", "Se", "Na", "Se", "Na", "Se", "Se"],
  "fractional_positions": [[0.754, 0.273, 0.019], [0.500, 0.500, 0.500], [0.000, 0.000, 0.500], [0.264, 0.273, 0.019], [0.000, 0.500, 0.500], [0.000, 0.500, 0.000], [0.744, 0.731, 0.488], [0.246, 0.727, 0.981], [0.500, 0.500, 0.000], [0.500, 0.000, 0.000], [0.754, 0.273, 0.508], [0.500, 0.000, 0.500], [0.256, 0.269, 0.512], [0.000, 0.000, 0.000], [0.736, 0.727, 0.981], [0.246, 0.727, 0.492]],
  "dft_energy_ha_per_atom": -0.2248,
  "formation_energy_uncorrected_ev_per_atom": -1.178,
  "spacegroup": "R-3m"
}

---

[4]
{
  "formula": "Na2PuAg2Se4",
  "functional": "GGA-PBE",
  "state": "optimized geometry",
  "lattice_angstrom": [[-2.755, 1.839, -2.551], [-3.811, -6.621, -0.658], [-0.895, 3.600, 6.987]],
  "species": ["Se", "Ag", "Se", "Na", "Na", "Se", "Ag", "Pu", "Se"],
  "fractional_positions": [[0.207, 0.224, 0.414], [0.321, 0.022, 0.642], [0.506, 0.261, 0.011], [0.860, 0.438, 0.721], [0.140, 0.562, 0.279], [0.494, 0.739, 0.989], [0.679, 0.978, 0.358], [0.000, 0.000, 0.000], [0.793, 0.776, 0.586]],
  "dft_energy_ha_per_atom": -0.1810,
  "formation_energy_uncorrected_ev_per_atom": -0.859,
  "spacegroup": "C2/m"
}

---

[5]
{
  "formula": "NaPu4Ag3Se12",
  "functional": "GGA-PBE",
  "state": "optimized geometry",
  "lattice_angstrom": [[8.975, 0.000, 0.000], [-2.992, 8.461, 0.000], [-2.992, -4.231, 7.328]],
  "species": ["Se", "Se", "Na", "Pu", "Se", "Pu", "Se", "Ag", "Se", "Se", "Se", "Se", "Se", "Pu", "Se", "Se", "Se", "Pu", "Ag", "Ag"],
  "fractional_positions": [[0.169, 0.478, 0.309], [0.140, 0.309, 0.831], [0.000, 0.000, 0.000], [0.000, 0.000, 0.500], [0.831, 0.522, 0.691], [0.000, 0.500, 0.000], [0.478, 0.309, 0.169], [0.500, 0.000, 0.500], [0.309, 0.169, 0.478], [0.522, 0.691, 0.831], [0.691, 0.831, 0.522], [0.309, 0.831, 0.140], [0.860, 0.691, 0.169], [0.500, 0.500, 0.500], [0.831, 0.140, 0.309], [0.169, 0.860, 0.691], [0.691, 0.169, 0.860], [0.500, 0.000, 0.000], [0.500, 0.500, 0.000], [0.000, 0.500, 0.500]],
  "dft_energy_ha_per_atom": -0.2257,
  "formation_energy_uncorrected_ev_per_atom": -0.690,
  "spacegroup": "Im-3"
}

---

[6]
{
  "formula": "Na3Pu3AgSe8",
  "functional": "GGA-PBE",
  "state": "optimized geometry",
  "lattice_angstrom": [[-6.914, -2.324, 3.767], [4.247, -5.401, -4.483], [3.152, 2.580, 7.378]],
  "species": ["Se", "Se", "Se", "Se", "Na", "Pu", "Pu", "Pu", "Se", "Ag", "Na", "Se", "Na", "Se", "Se"],
  "fractional_positions": [[0.754, 0.020, 0.275], [0.744, 0.488, 0.733], [0.245, 0.491, 0.725], [0.734, 0.980, 0.725], [0.000, 0.000, 0.000], [0.000, 0.500, 0.500], [0.500, 0.000, 0.500], [0.500, 0.500, 0.500], [0.266, 0.020, 0.275], [0.000, 0.000, 0.500], [0.000, 0.500, 0.000], [0.246, 0.980, 0.725], [0.500, 0.500, 0.000], [0.755, 0.509, 0.275], [0.256, 0.512, 0.267]],
  "dft_energy_ha_per_atom": -0.2310,
  "formation_energy_uncorrected_ev_per_atom": -1.107,
  "spacegroup": "R-3m"
}

---

[7]
{
  "formula": "NaPuAgSn",
  "functional": "GGA-PBE",
  "state": "optimized geometry",
  "lattice_angstrom": [[5.221, 0.000, 0.000], [2.610, 4.521, 0.000], [2.610, 1.507, 4.263]],
  "species": ["Sn", "Ag", "Pu", "Na"],
  "fractional_positions": [[0.250, 0.250, 0.250], [0.750, 0.750, 0.750], [0.000, 0.000, 0.000], [0.500, 0.500, 0.500]],
  "dft_energy_ha_per_atom": -0.2085,
  "e_form_ev_per_atom": -0.05,
  "spacegroup": "F-43m"
}

---

[8]
{
  "formula": "Na3Pu2AgTe6",
  "functional": "GGA-PBE",
  "state": "optimized geometry",
  "lattice_angstrom": [[7.619, 0.003, 0.003], [-3.805, 6.601, 0.003], [-1.269, -2.197, 7.491]],
  "species": ["Te", "Na", "Te", "Te", "Te", "Te", "Te", "Na", "Pu", "Ag", "Pu", "Na"],
  "fractional_positions": [[0.923, 0.589, 0.770], [0.164, 0.836, 0.500], [0.589, 0.923, 0.770], [0.258, 0.258, 0.771], [0.077, 0.411, 0.230], [0.411, 0.077, 0.230], [0.742, 0.742, 0.229], [0.500, 0.500, 0.500], [0.333, 0.667, 0.000], [0.000, 0.000, 0.000], [0.667, 0.333, 0.000], [0.836, 0.164, 0.500]],
  "dft_energy_ha_per_atom": -0.1949,
  "formation_energy_uncorrected_ev_per_atom": -0.778,
  "spacegroup": "C2/m"
}

---

[9]
{
  "formula": "NaPuAgTe3",
  "functional": "GGA-PBE",
  "state": "optimized geometry",
  "lattice_angstrom": [[4.230, 0.000, 0.000], [0.000, 9.092, 0.407], [0.000, -1.979, 9.465]],
  "species": ["Pu", "Ag", "Te", "Te", "Pu", "Te", "Ag", "Te", "Te", "Te", "Na", "Na"],
  "fractional_positions": [[0.750, 0.835, 0.778], [0.250, 0.082, 0.582], [0.750, 0.914, 0.127], [0.250, 0.086, 0.873], [0.250, 0.165, 0.222], [0.250, 0.613, 0.847], [0.750, 0.918, 0.418], [0.750, 0.387, 0.153], [0.750, 0.246, 0.478], [0.250, 0.754, 0.522], [0.250, 0.653, 0.185], [0.750, 0.347, 0.815]],
  "dft_energy_ha_per_atom": -0.1947,
  "formation_energy_uncorrected_ev_per_atom": -0.643,
  "spacegroup": "P2_1/m"
}

---

[10]
{
  "formula": "Na2PuAgTe4",
  "functional": "GGA-PBE",
  "state": "optimized geometry",
  "lattice_angstrom": [[-1.367, -3.407, -2.351], [5.650, -4.357, 3.028], [-6.809, -0.295, 4.387]],
  "species": ["Pu", "Te", "Te", "Te", "Na", "Te", "Ag", "Na"],
  "fractional_positions": [[0.500, 0.500, 0.000], [0.500, 0.783, 0.807], [0.000, 0.722, 0.255], [0.500, 0.217, 0.193], [0.500, 0.000, 0.500], [0.000, 0.278, 0.745], [0.000, 0.000, 0.000], [0.000, 0.500, 0.500]],
  "dft_energy_ha_per_atom": -0.1723,
  "formation_energy_uncorrected_ev_per_atom": -0.639,
  "spacegroup": "P2/m"
}

---

[11]
{
  "formula": "RbNaAg",
  "functional": "GGA-PBE",
  "state": "optimized geometry",
  "lattice_angstrom": [[5.004, 0.000, 0.000], [0.000, 6.827, -0.205], [-2.502, -1.712, 7.405]],
  "species": ["Rb", "Ag", "Rb", "Na", "Ag", "Na"],
  "fractional_positions": [[0.133, 0.316, 0.267], [0.224, 0.896, 0.449], [0.867, 0.684, 0.733], [0.598, 0.784, 0.196], [0.776, 0.104, 0.551], [0.402, 0.216, 0.804]],
  "dft_energy_ha_per_atom": -0.0619,
  "e_form_ev_per_atom": 0.03,
  "spacegroup": "C2/m",
  "e_above_lowest_polymorph_ev_per_atom": 0.001
}

---

[12]
{
  "formula": "Rb2NaAg",
  "functional": "GGA-PBE",
  "state": "optimized geometry",
  "lattice_angstrom": [[4.410, 0.000, 0.000], [0.000, 4.410, 0.000], [0.000, 0.000, 10.143]],
  "species": ["Rb", "Ag", "Na", "Rb"],
  "fractional_positions": [[0.000, 0.000, 0.204], [0.500, 0.500, 0.000], [0.500, 0.500, 0.500], [0.000, 0.000, 0.796]],
  "dft_energy_ha_per_atom": -0.0538,
  "e_form_ev_per_atom": 0.06,
  "spacegroup": "P4/mmm",
  "e_above_lowest_polymorph_ev_per_atom": 0.022
}